A plane-wave DFT calculation with PBE-GGA was carried out for TaCdTc2 after structural relaxation.

Geometry as POSCAR:
```
TaCdTc2
1.0
9.834 0.018 0.010
9.421 2.820 0.010
9.421 1.388 2.455
Tc Cd Ta
2 1 1
Cartesian
28.507 4.201 2.461
7.376 1.087 0.637
14.445 2.129 1.247
21.361 3.148 1.844
```

Energy in eV/atom: -8.186
Size of the total moment in μB/atom: 0.0000
D(E_F) in states/eV per cell: 2.72


A plane-wave DFT calculation with PBE-GGA was carried out for Cd2CuAs after structural relaxation.

Geometry as POSCAR:
```
Cd2CuAs
1.0
-3.206 1.850 3.034
-4.680 -0.473 -0.882
-2.667 -2.895 2.722
Cu Cd As
1 2 1
Cartesian
-7.915 -1.139 3.656
0.000 0.000 0.000
-2.638 -0.380 1.219
-5.277 -0.759 2.438
```

Energy in eV/atom: -2.417
Size of the total moment in μB/atom: 0.0000
D(E_F) in states/eV per cell: 0.73


A plane-wave DFT calculation with PBE-GGA was carried out for CrN2 after structural relaxation.

Geometry as POSCAR:
```
CrN2
1.0
3.186 0.000 0.000
-1.593 2.759 0.000
0.000 0.000 3.856
N Cr
2 1
Cartesian
0.000 0.000 2.613
0.000 1.839 0.623
0.000 1.839 2.859
```

Raw formation energy in eV/atom: 0.357
Energy in eV/atom: -8.401
Size of the total moment in μB/atom: 0.0035
D(E_F) in states/eV per cell: 1.63


A plane-wave DFT calculation with PBE-GGA was carried out for DyErBi after structural relaxation.

Geometry as POSCAR:
```
DyErBi
1.0
-0.333 0.692 3.852
-1.622 -8.254 1.343
10.710 -1.898 1.267
Dy Er Bi
4 4 4
Cartesian
0.946 -4.327 2.862
6.209 -3.830 3.228
2.200 -7.391 3.521
8.542 -1.402 2.993
1.085 -1.585 0.379
8.285 -7.131 1.998
5.879 -1.362 0.753
3.898 -5.282 1.286
-0.859 -6.867 3.162
5.492 -6.926 3.722
3.315 -2.270 2.697
9.262 -4.390 3.592
```

Energy in eV/atom: -4.740
Size of the total moment in μB/atom: 0.0000
D(E_F) in states/eV per cell: 11.71